1.
# Pm2HfPaN4

Pm2HfPaN4 after structural relaxation (PBE-GGA, Alexandria via LeMat-Bulk).

```
Pm2HfPaN4
1.0
3.456 0.000 0.000
0.000 5.959 0.119
0.000 -2.068 5.718
Hf N Pm Pa
1 4 2 1
direct
0.000 0.000 0.000
0.000 0.750 0.214
0.500 0.769 0.791
0.500 0.231 0.209
0.000 0.250 0.786
0.500 0.000 0.500
0.000 0.500 0.500
0.500 0.500 0.000
```

Symmetry: P2/m
Raw total energy (eV/cell): -75.2
Raw formation energy (eV/atom): -1.620


2.
# Pm2GdTl

Pm2GdTl after structural relaxation (PBE-GGA, Alexandria via LeMat-Bulk).

```
Pm2GdTl
1.0
5.558 0.000 0.000
2.779 4.814 0.000
2.779 1.605 4.538
Pm Tl Gd
2 1 1
direct
0.250 0.250 0.250
0.750 0.750 0.750
0.000 0.000 0.000
0.500 0.500 0.500
```

Symmetry: Fm-3m
Raw total energy (eV/cell): -26.3
Calculated formation energy (meV/atom): -91.6


Repeat the second record exactly.
# Pm2GdTl

Pm2GdTl after structural relaxation (PBE-GGA, Alexandria via LeMat-Bulk).

```
Pm2GdTl
1.0
5.558 0.000 0.000
2.779 4.814 0.000
2.779 1.605 4.538
Pm Tl Gd
2 1 1
direct
0.250 0.250 0.250
0.750 0.750 0.750
0.000 0.000 0.000
0.500 0.500 0.500
```

Symmetry: Fm-3m
Raw total energy (eV/cell): -26.3
Calculated formation energy (meV/atom): -91.6


Which of these has the highest raw total energy? Pm2GdTl


The highest raw total energy belongs to which entry? Pm2GdTl